DFT (PBE) results for crystalline DyCrSb3 at its relaxed geometry.

a b c (Å): 12.681 6.238 6.055
angles (deg): 90.00 90.00 90.00
Space group Pbcm (No. 57)
Asymmetric unit:
Dy1 0.189 0.006 0.250 x4
Cr1 0.402 0.750 0.000 x4
Sb1 0.002 0.750 0.000 x4
Sb2 0.272 0.002 0.750 x4
Sb3 0.436 0.102 0.250 x4

Summary:
The formation energy from raw total energies is -0.425 eV per atom. For the uncorrected energy, the calculation gives -5.743 eV per atom.

DFT (PBE) results for crystalline NbSnOF2 at its relaxed geometry.

a b c (Å): 4.452 4.452 4.015
angles (deg): 90.00 90.00 90.00
Space group P4/mmm (No. 123)
Asymmetric unit:
Nb1 0.000 0.000 0.000 x1
Sn1 0.500 0.500 0.500 x1
O1 0.000 0.000 0.500 x1
F1 0.000 0.500 0.000 x2

Summary:
The formation energy from raw total energies is -1.625 eV per atom. For the uncorrected energy, the calculation gives -6.180 eV per atom.

DFT (PBE) results for crystalline TaNb2Pt3 at its relaxed geometry.

a b c (Å): 3.505 3.505 8.332
angles (deg): 90.00 90.00 90.00
Space group P4/mmm (No. 123)
Asymmetric unit:
Ta1 0.000 0.000 0.000 x1
Nb1 0.000 0.000 0.338 x2
Pt1 0.500 0.500 0.164 x2
Pt2 0.500 0.500 0.500 x1

Summary:
For the uncorrected energy, the calculation gives -8.823 eV per atom. The formation energy is -0.47 eV per atom.

DFT (PBE) results for crystalline Cu2AuCl at its relaxed geometry.

a b c (Å): 3.094 3.094 6.627
angles (deg): 90.00 90.00 90.00
Space group P4/mmm (No. 123)
Asymmetric unit:
Cu1 0.000 0.000 0.239 x2
Au1 0.500 0.500 0.000 x1
Cl1 0.500 0.500 0.500 x1

Summary:
The formation energy from raw total energies is 0.056 eV per atom. For the uncorrected energy, the calculation gives -3.273 eV per atom.

DFT (PBE) results for crystalline Cs4Pm3DySe8 at its relaxed geometry.

a b c (Å): 8.6945 8.6945 25.1927
angles (deg): 90.00 90.00 120.00
Space group R-3m (No. 166, hexagonal axes)
Asymmetric unit:
Cs1 0.0000 0.0000 0.0000 x3
Cs2 0.0000 0.5000 0.0000 x9
Pm1 0.0000 0.5000 0.5000 x9
Dy1 0.0000 0.0000 0.5000 x3
Se1 0.0000 0.0000 0.2301 x6
Se2 0.0058 0.5029 0.2293 x18

Summary:
The formation energy from raw total energies is -1.729 eV per atom. For the uncorrected energy, the calculation gives -4.863 eV per atom.

DFT (PBE) results for crystalline BaTlHg2 at its relaxed geometry.

a b c (Å): 5.5245 5.5245 16.7821
angles (deg): 90.00 90.00 120.00
Space group R3m (No. 160, hexagonal axes)
Asymmetric unit:
Ba1 0.0000 0.0000 0.0000 x3
Tl1 0.0000 0.0000 0.2164 x3
Hg1 0.0000 0.0000 0.4165 x3
Hg2 0.0000 0.0000 0.5888 x3

Summary:
For the uncorrected energy, the calculation gives -1.473 eV per atom. The formation energy is -0.25 eV per atom.

DFT (PBE) results for crystalline Cs3TbDy2S6 at its relaxed geometry.

a b c (Å): 7.122 12.336 8.410
angles (deg): 90.00 106.40 90.00
Space group C2/m (No. 12)
Asymmetric unit:
Cs1 0.000 0.000 0.000 x2
Cs2 0.000 0.333 0.000 x4
Tb1 0.000 0.500 0.500 x2
Dy1 0.000 0.167 0.500 x4
S1 0.226 0.000 0.682 x4
S2 0.228 0.333 0.682 x8

Summary:
The formation energy from raw total energies is -1.834 eV per atom. For the uncorrected energy, the calculation gives -5.264 eV per atom.

DFT (PBE) results for crystalline Ba2ZnBi2 at its relaxed geometry.

a b c (Å): 6.899 6.899 13.946
angles (deg): 90.00 90.00 90.00
Space group I4/mmm (No. 139)
Asymmetric unit:
Ba1 0.000 0.500 0.250 x4
Zn1 0.000 0.000 0.000 x2
Bi1 0.000 0.000 0.187 x4

Summary:
For the uncorrected energy, the calculation gives -3.026 eV per atom. The formation energy is -0.45 eV per atom.

no.,magnetization (μB per formula unit)
1,2.21
2,1.78
3,0.00
4,0.00
5,0.00
6,0.00
7,0.00
8,0.00